Entry 1:
DFT (PBE) results for a relaxed KRbPuI6 crystal.

Lattice parameters (Å, degrees): 8.6974 8.6974 14.8093 90.00 90.00 120.00
With the nearest neighbours (Å) after each atom.
Space group P-31c (No. 163)
Inequivalent atoms, fractional coordinates:
K1 0.3333 0.6667 0.2500  6 I 3.57
Rb1 0.0000 0.0000 0.0000  6 I 3.74
Pu1 0.3333 0.6667 0.7500  6 I 3.01
I1 0.0489 0.3893 0.6310  1 Pu 3.01

Spin magnetization   8.00 μB/cell
Calculated volume   970.2 Å³ per cell
DOS at the Fermi energy   20.66 states/eV per cell
ρ   3.87 g cm⁻³
Formation energy without anion corrections   -1144 meV/atom

***

Entry 2:
DFT (PBE) results for a relaxed AlCr5Se8 crystal.

Lattice parameters (Å, degrees): 10.6369 10.6369 10.6369 90.00 90.00 90.00
With the nearest neighbours (Å) after each atom.
Space group F-43m (No. 216)
Inequivalent atoms, fractional coordinates:
Al1 0.0000 0.0000 0.0000  4 Se 2.46
Cr1 0.1223 0.1223 0.3777  6 Se 2.53-2.61
Cr2 0.2500 0.2500 0.7500  4 Se 2.49
Se1 0.1151 0.1151 0.6151  4 Cr 2.49-2.53
Se2 0.1333 0.1333 0.1333  1 Al 2.46, 3 Cr 2.61

Spin magnetization   67.92 μB/cell
Calculated volume   1203.5 Å³ per cell
DOS at the Fermi energy   24.72 states/eV per cell
ρ   5.07 g cm⁻³
Formation energy without anion corrections   -550 meV/atom

***

Entry 3:
DFT (PBE) results for a relaxed HfSc2Br crystal.

Lattice parameters (Å, degrees): 3.3856 3.3856 27.6458 90.00 90.00 120.00
With the nearest neighbours (Å) after each atom.
Space group R-3m (No. 166, hexagonal axes)
Inequivalent atoms, fractional coordinates:
Hf1 0.0000 0.0000 0.0000  6 Sc 3.11, 6 Hf 3.39
Sc1 0.0000 0.0000 0.2458  3 Br 2.93, 3 Hf 3.11
Br1 0.0000 0.0000 0.5000  6 Sc 2.93

Spin magnetization   0.00 μB/cell
Calculated volume   274.4 Å³ per cell
DOS at the Fermi energy   16.89 states/eV per cell
ρ   6.32 g cm⁻³
Formation energy without anion corrections   -439 meV/atom
Excess energy over the best structure of this formula in the dataset   0 meV/atom

***

Entry 4:
DFT (PBE) results for a relaxed HfScRhAu crystal.

Lattice parameters (Å, degrees): 6.6568 6.6568 6.6568 90.00 90.00 90.00
With the nearest neighbours (Å) after each atom.
Space group F-43m (No. 216)
Inequivalent atoms, fractional coordinates:
Hf1 0.0000 0.0000 0.0000  4 Rh 2.88, 4 Au 2.88
Sc1 0.0000 0.0000 0.5000  4 Au 2.88, 4 Rh 2.88
Rh1 0.2500 0.2500 0.7500  4 Hf 2.88, 4 Sc 2.88
Au1 0.2500 0.2500 0.2500  4 Hf 2.88, 4 Sc 2.88

Spin magnetization   0.00 μB/cell
Calculated volume   295.0 Å³ per cell
DOS at the Fermi energy   12.25 states/eV per cell
ρ   11.78 g cm⁻³
Formation energy   -0.726 eV/atom

***

Entry 5:
DFT (PBE) results for a relaxed MgTa2Cl crystal.

Lattice parameters (Å, degrees): 2.9150 2.9150 10.3890 90.00 90.00 90.00
With the nearest neighbours (Å) after each atom.
Space group P4mm (No. 99)
Inequivalent atoms, fractional coordinates:
Mg1 0.0000 0.0000 0.0000  4 Mg 2.92, 4 Ta 3.13
Ta1 0.0000 0.0000 0.4417  4 Cl 2.67, 4 Ta 2.92
Ta2 0.5000 0.5000 0.2261  8 Ta 2.92-3.04, 4 Mg 3.13
Cl1 0.5000 0.5000 0.6057  4 Ta 2.67, 4 Cl 2.92

Spin magnetization   0.00 μB/cell
Calculated volume   88.3 Å³ per cell
DOS at the Fermi energy   2.54 states/eV per cell
ρ   7.93 g cm⁻³
Formation energy without anion corrections   15 meV/atom
Excess energy over the best structure of this formula in the dataset   76 meV/atom

***

Entry 6:
DFT (PBE) results for a relaxed K2SrTlIn crystal.

Lattice parameters (Å, degrees): 5.7125 5.7125 7.6512 90.00 90.00 120.00
With the nearest neighbours (Å) after each atom.
Space group P3m1 (No. 156)
Inequivalent atoms, fractional coordinates:
K1 0.0000 0.0000 0.0000  2 Tl 3.61-4.04, 3 In 3.81, 3 K 3.92
K2 0.3333 0.6667 0.7228  2 In 3.62-4.03, 3 Tl 3.82, 3 K 3.92
Sr1 0.6667 0.3333 0.3584  3 In 3.40, 3 Tl 3.41
Tl1 0.0000 0.0000 0.4719  3 Sr 3.41, 4 K 3.61-3.82, 3 In 3.71
In1 0.3333 0.6667 0.2496  3 Sr 3.40, 1 K 3.62, 3 Tl 3.71

Spin magnetization   0.00 μB/cell
Calculated volume   216.2 Å³ per cell
DOS at the Fermi energy   2.71 states/eV per cell
ρ   3.72 g cm⁻³
Formation energy   -0.140 eV/atom
Excess energy over the best structure of this formula in the dataset   0 meV/atom

***

Entry 7:
DFT (PBE) results for a relaxed Sr2LiYNi crystal.

Lattice parameters (Å, degrees): 5.9082 5.9082 5.2141 90.00 90.00 90.00
With the nearest neighbours (Å) after each atom.
Space group P4/mmm (No. 123)
Inequivalent atoms, fractional coordinates:
Sr1 0.0000 0.5000 0.0000  2 Ni 2.95
Li1 0.0000 0.0000 0.5000  8 Sr 3.94, 4 Y 4.18
Y1 0.5000 0.5000 0.5000  2 Ni 2.61
Ni1 0.5000 0.5000 0.0000  2 Y 2.61

Spin magnetization   0.00 μB/cell
Calculated volume   182.0 Å³ per cell
DOS at the Fermi energy   3.46 states/eV per cell
ρ   3.01 g cm⁻³
Formation energy   0.055 eV/atom

***

Entry 8:
DFT (PBE) results for a relaxed ScIr2F2 crystal.

Lattice parameters (Å, degrees): 7.2525 7.2525 2.9018 90.00 90.00 90.00
With the nearest neighbours (Å) after each atom.
Space group P4/mbm (No. 127)
Inequivalent atoms, fractional coordinates:
Sc1 0.0000 0.0000 0.0000  2 Sc 2.90, 4 Ir 2.92, 8 F 2.96
Ir1 0.1134 0.3866 0.0000  2 F 2.20, 1 Ir 2.33
F1 0.2251 0.7251 0.5000  2 Ir 2.20

Spin magnetization   0.00 μB/cell
Calculated volume   152.6 Å³ per cell
DOS at the Fermi energy   9.89 states/eV per cell
ρ   10.17 g cm⁻³
Formation energy without anion corrections   -234 meV/atom
Excess energy over the best structure of this formula in the dataset   444 meV/atom